## YCu3Si (PBE-GGA)

Data for a geometry-optimized YCu3Si structure.

Cell: 4.4447 4.4447 4.4447 Å, 90.00 90.00 90.00°
Last column: nearest neighbours and their distance in Å.
Fractional positions:
Y  0.5000  0.5000  0.5000  12 Cu 3.14
Si  0.0000  0.0000  0.0000  6 Cu 2.22
Cu  0.0000  0.5000  0.0000  2 Si 2.22
Cu  0.0000  0.0000  0.5000  2 Si 2.22
Cu  0.5000  0.0000  0.0000  2 Si 2.22

Computed properties:
ρ: 5.82 g cm⁻³
Energy relative to the lowest polymorph listed for this composition: 0 meV per atom
Calculated volume: 17.56 Å³ per atom
Raw formation energy: -33 meV/atom